# Tl12Hg3Pb5

A geometry-optimized Tl12Hg3Pb5 structure (PBE-GGA, Alexandria).

The value obtained for the energy is -2.19 eV per atom. Its crystal system is cubic.

The space group is Ia-3d (No. 230) and the conventional cell measures 18.145, 18.145 and 18.145 Å, with angles of 90.00, 90.00 and 90.00 degrees. Symmetry generates all atoms from Tl at (0.020, 0.084, 0.650), Hg at (0.000, 0.250, 0.125), Pb at (0.000, 0.000, 0.000) and Pb at (0.000, 0.250, 0.375).